Record 1
A relaxed structure of CdAs2P. Source: Alexandria via LeMat-Bulk, functional PBE.

abc: 7.6072 7.6072 7.6072
angles: 154.51 153.98 36.75
Closest atoms and distances in Å follow each position.
Fractional positions:
Cd: 0.0000 0.0000 0.0000  6 As 2.93-3.00
As: 0.3749 0.3749 0.0000  2 P 2.52
As: 0.6649 0.1649 0.5000  4 P 2.66, 2 Cd 2.93
P: 0.2442 0.7442 0.5000  6 As 2.52-2.66

Output
Energy above the lowest structure with this stoichiometry ... 18.5 kJ/mol of atoms
Calculated formation energy ... 0.302 eV/atom
SG ... Imm2 (44)

Record 2
A relaxed structure of CrAsAu2. Source: Alexandria via LeMat-Bulk, functional PBE.

abc: 3.8458 3.8458 4.9683
angles: 90.00 90.00 90.95
Closest atoms and distances in Å follow each position.
Fractional positions:
Cr: 0.0000 0.0000 0.0000  4 As 2.70-2.74, 4 Au 2.83
As: 0.5000 0.5000 0.0000  4 Cr 2.70-2.74, 4 Au 2.84
Au: 0.2473 0.7527 0.5000  4 Au 2.70-2.77, 2 Cr 2.83, 2 As 2.84
Au: 0.7527 0.2473 0.5000  4 Au 2.70-2.77, 2 Cr 2.83, 2 As 2.84

Output
Calculated formation energy ... 0.136 eV/atom
SG ... Cmmm (65)

Record 3
A relaxed structure of Sr8Ge2Pb. Source: Alexandria via LeMat-Bulk, functional PBE.

abc: 10.5373 10.5373 7.9134
angles: 101.90 101.90 30.34
Closest atoms and distances in Å follow each position.
Fractional positions:
Sr: 0.0411 0.0411 0.2836  1 Ge 3.32, 2 Pb 3.44
Sr: 0.2092 0.2092 0.8296  3 Ge 3.18-3.42
Sr: 0.3301 0.3301 0.5357  3 Ge 3.23-3.46, 1 Pb 3.53
Sr: 0.4072 0.4072 0.0535  1 Pb 3.63, 7 Sr 3.87-4.06, 2 Ge 3.88
Sr: 0.5928 0.5928 0.9465  1 Pb 3.63, 7 Sr 3.87-4.06, 2 Ge 3.88
Sr: 0.6699 0.6699 0.4643  3 Ge 3.23-3.46, 1 Pb 3.53
Sr: 0.7908 0.7908 0.1704  3 Ge 3.18-3.42
Sr: 0.9589 0.9589 0.7164  1 Ge 3.32, 2 Pb 3.44
Ge: 0.1980 0.1980 0.2249  7 Sr 3.18-3.46
Ge: 0.8020 0.8020 0.7751  7 Sr 3.18-3.46
Pb: 0.5000 0.5000 0.5000  8 Sr 3.44-3.63

Output
Calculated formation energy ... -0.344 eV/atom
SG ... C2/m (12)

Record 4
A relaxed structure of CaOF2. Source: Alexandria via LeMat-Bulk, functional PBE.

abc: 5.0759 3.7252 6.5931
angles: 90.00 100.65 90.00
Closest atoms and distances in Å follow each position.
Fractional positions:
Ca: 0.0008 0.2500 0.2500  6 F 2.34, 2 O 2.54
Ca: 0.9992 0.7500 0.7500  6 F 2.34, 2 O 2.54
O: 0.4989 0.7500 0.7497  2 Ca 2.54, 4 F 2.55-2.56
O: 0.5011 0.2500 0.2503  2 Ca 2.54, 4 F 2.55-2.56
F: 0.1738 0.2500 0.6044  3 Ca 2.34, 2 O 2.55
F: 0.1742 0.7500 0.1042  3 Ca 2.34, 2 O 2.56
F: 0.8258 0.2500 0.8958  3 Ca 2.34, 2 O 2.56
F: 0.8262 0.7500 0.3956  3 Ca 2.34, 2 O 2.55

Output
Energy above the lowest structure with this stoichiometry ... 0.0 kJ/mol of atoms
E_form (uncorrected) ... -2.19 eV/atom
SG ... P2_1/m (11)

Record 5
A relaxed structure of TeBrCl2. Source: Alexandria via LeMat-Bulk, functional PBE.

abc: 3.9525 3.9683 8.2870
angles: 90.00 90.00 90.00
Closest atoms and distances in Å follow each position.
Fractional positions:
Te: 0.0000 0.0000 0.0000  4 Cl 2.80
Br: 0.5000 0.0000 0.5000  4 Cl 2.80
Cl: 0.0000 0.5000 0.5000  4 Br 2.80
Cl: 0.5000 0.5000 0.0000  4 Te 2.80

Output
Energy above the lowest structure with this stoichiometry ... 64.8 kJ/mol of atoms
E_form (uncorrected) ... 0.27 eV/atom
SG ... Pmmm (47)

Record 6
A relaxed structure of ZrPaTcIr. Source: Alexandria via LeMat-Bulk, functional PBE.

abc: 4.7780 4.7780 4.7780
angles: 60.00 60.00 60.00
Closest atoms and distances in Å follow each position.
Fractional positions:
Zr: 0.0000 0.0000 0.0000  4 Tc 2.93, 4 Ir 2.93
Pa: 0.5000 0.5000 0.5000  4 Ir 2.93, 4 Tc 2.93
Tc: 0.2500 0.2500 0.2500  4 Pa 2.93, 4 Zr 2.93
Ir: 0.7500 0.7500 0.7500  4 Pa 2.93, 4 Zr 2.93

Output
Calculated formation energy ... -0.463 eV/atom
SG ... F-43m (216)